The following is a PBE calculation of an optimized crystal structure of PmZnIn2, from Alexandria via LeMat-Bulk.

POSCAR file:
```
PmZnIn2
1.0
2.2751 -8.6956 0.0000
2.2751 8.6956 0.0000
0.0000 0.0000 9.7848
Pm Zn In
4 4 8
Direct
0.0000 0.0000 0.0000
0.0000 0.0000 0.5000
0.1886 0.8114 0.7500
0.8114 0.1886 0.2500
0.3598 0.6402 0.0308
0.3598 0.6402 0.4692
0.6402 0.3598 0.5308
0.6402 0.3598 0.9692
0.1980 0.8020 0.0919
0.1980 0.8020 0.4081
0.3904 0.6096 0.7500
0.4503 0.5497 0.2500
0.5497 0.4503 0.7500
0.6096 0.3904 0.2500
0.8020 0.1980 0.5919
0.8020 0.1980 0.9081
```

For the energy, the calculation gives -51.90 eV/cell. The space group is No. 63. Its formation enthalpy at 0 K is -0.369 eV per atom. As for the polymorph energy (0 for the lowest one): 1.5 kJ/mol of atoms. The calculated density comes out at 7.5 g cm⁻³. The calculation puts the density of states at the Fermi level at 5.525 states/eV per cell.